DFT (PBE) results for a geometry-optimized Li3Sb structure.

a b c (Å): 4.251 4.251 4.094
angles (deg): 90.00 90.00 90.00
Space group P4/mmm (No. 123)
Unique sites:
1 Li 0.000 0.000 0.000
2 Li 0.000 0.500 0.500
3 Sb 0.500 0.500 0.000

Summary:
The calculation puts the total magnetization at 0.17 μB per cell. The value obtained for the formation energy (no corrections) is -449 meV/atom. The polymorph energy (0 for the lowest one) is 181 meV/atom.